(1)
Density functional theory data (PBE) for RbHg2Pd2 after structural relaxation.

Calculated values
For the calculated volume, the calculation gives 25.31 A^3/atom. The space group is I4/mmm, No. 139. For the calculated formation energy, the calculation gives -0.102 eV per atom.

Unit cell a=4.518 b=4.518 c=6.974 alpha=71.10 beta=71.10 gamma=90.00
Positions (direct):
Pd: 0.750 0.250 0.500
Pd: 0.250 0.750 0.500
Rb: 0.000 0.000 0.000
Hg: 0.381 0.381 0.238
Hg: 0.619 0.619 0.762



(2)
Density functional theory data (PBE) for LaAgRu2 after structural relaxation.

Calculated values
For the calculated volume, the calculation gives 18.22 A^3/atom. The space group is Cmmm, No. 65. For the calculated formation energy, the calculation gives 0.542 eV per atom.

Unit cell a=3.013 b=3.013 c=8.835 alpha=90.00 beta=90.00 gamma=114.70
Positions (direct):
Ag: 0.500 0.500 0.250
La: 0.500 0.500 0.750
Ru: 0.000 0.000 0.995
Ru: 0.000 0.000 0.505



(3)
Density functional theory data (PBE) for Ca2YGaO after structural relaxation.

Calculated values
For the calculated volume, the calculation gives 21.55 A^3/atom. The calculation puts the uncorrected formation energy at -1.404 eV/atom. The space group is P4/mmm, No. 123.

Unit cell a=4.721 b=4.721 c=4.833 alpha=90.00 beta=90.00 gamma=90.00
Positions (direct):
Ca: 0.500 0.000 0.000
Ca: 0.000 0.500 0.000
Ga: 0.500 0.500 0.500
Y: 0.000 0.000 0.500
O: 0.000 0.000 0.000



(4)
Density functional theory data (PBE) for Ca2SnAu10 after structural relaxation.

Calculated values
For the calculated volume, the calculation gives 20.74 A^3/atom. The space group is P2_1/c, No. 14. For the calculated formation energy, the calculation gives -0.381 eV per atom.

Unit cell a=5.371 b=5.631 c=19.452 alpha=90.00 beta=113.52 gamma=90.00
Positions (direct):
Au: 0.967 0.135 0.827
Au: 0.460 0.881 0.793
Au: 0.588 0.367 0.567
Au: 0.412 0.633 0.433
Au: 0.959 0.642 0.815
Au: 0.033 0.635 0.673
Au: 0.176 0.059 0.464
Au: 0.041 0.142 0.685
Au: 0.588 0.133 0.067
Au: 0.460 0.619 0.293
Au: 0.412 0.867 0.933
Au: 0.967 0.365 0.327
Au: 0.540 0.381 0.707
Au: 0.176 0.441 0.964
Au: 0.041 0.358 0.185
Au: 0.824 0.559 0.036
Au: 0.033 0.865 0.173
Au: 0.540 0.119 0.207
Au: 0.824 0.941 0.536
Au: 0.959 0.858 0.315
Sn: 0.000 0.000 0.000
Sn: 0.000 0.500 0.500
Ca: 0.470 0.884 0.633
Ca: 0.530 0.384 0.867
Ca: 0.470 0.616 0.133
Ca: 0.530 0.116 0.367



(5)
Density functional theory data (PBE) for ThZrAs after structural relaxation.

Calculated values
For the calculated volume, the calculation gives 24.18 A^3/atom. The space group is P4/nmm, No. 129. For the calculated formation energy, the calculation gives -0.877 eV per atom.

Unit cell a=4.202 b=4.202 c=8.217 alpha=90.00 beta=90.00 gamma=90.00
Positions (direct):
As: 0.000 0.500 0.254
As: 0.500 0.000 0.746
Zr: 0.500 0.500 0.500
Zr: 0.000 0.000 0.500
Th: 0.500 0.000 0.145
Th: 0.000 0.500 0.855



(6)
Density functional theory data (PBE) for La2Tb3Pm6Mg after structural relaxation.

Calculated values
For the calculated volume, the calculation gives 33.27 A^3/atom. The space group is C2/m, No. 12. For the calculated formation energy, the calculation gives 0.011 eV per atom.

Unit cell a=6.258 b=6.258 c=11.966 alpha=95.07 beta=95.07 gamma=120.05
Positions (direct):
Pm: 0.587 0.917 0.747
Pm: 0.247 0.247 0.746
Pm: 0.753 0.753 0.254
Pm: 0.083 0.413 0.253
Pm: 0.917 0.587 0.747
Pm: 0.413 0.083 0.253
Tb: 0.166 0.834 0.500
Tb: 0.500 0.500 0.500
Tb: 0.834 0.166 0.500
Mg: 0.000 0.000 0.000
La: 0.667 0.333 0.000
La: 0.333 0.667 0.000



> What is the formula in the fourth record?

Ca2SnAu10